[1]
A plane-wave DFT calculation with GGA-PBE was carried out for a relaxed Cs3LaSm2S6 crystal.

Lattice parameters (Å, degrees): 7.359 7.359 8.449 98.35 98.35 120.00
Sites, in units of the cell vectors:
1 Cs 0.166 0.834 0.500
2 Cs 0.834 0.166 0.500
3 Cs 0.500 0.500 0.500
4 La 0.000 0.000 0.000
5 Sm 0.333 0.667 0.000
6 Sm 0.667 0.333 0.000
7 S 0.938 0.598 0.815
8 S 0.722 0.722 0.185
9 S 0.062 0.402 0.185
10 S 0.598 0.938 0.815
11 S 0.278 0.278 0.815
12 S 0.402 0.062 0.185

Values from the calculation:
The space group is C2/m.

[2]
A plane-wave DFT calculation with GGA-PBE was carried out for a relaxed Cs3La2SmS6 crystal.

Lattice parameters (Å, degrees): 7.447 7.447 8.452 98.45 98.45 120.00
Sites, in units of the cell vectors:
1 Cs 0.167 0.833 0.500
2 Cs 0.833 0.167 0.500
3 Cs 0.500 0.500 0.500
4 La 0.333 0.667 0.000
5 La 0.667 0.333 0.000
6 Sm 0.000 0.000 0.000
7 S 0.938 0.611 0.814
8 S 0.735 0.735 0.186
9 S 0.062 0.389 0.186
10 S 0.611 0.938 0.814
11 S 0.265 0.265 0.814
12 S 0.389 0.062 0.186

Values from the calculation:
The space group is C2/m.

[3]
A plane-wave DFT calculation with GGA-PBE was carried out for a relaxed Cs2LaSmS4 crystal.

Lattice parameters (Å, degrees): 4.274 7.405 8.449 106.96 90.00 90.00
Sites, in units of the cell vectors:
1 Cs 0.500 0.000 0.500
2 Cs 0.000 0.500 0.500
3 La 0.000 0.000 0.000
4 Sm 0.500 0.500 0.000
5 S 0.500 0.235 0.186
6 S 0.500 0.765 0.814
7 S 0.000 0.278 0.815
8 S 0.000 0.722 0.185

Values from the calculation:
The space group is P2/m.

[4]
A plane-wave DFT calculation with GGA-PBE was carried out for a relaxed Cs3La2SnS6 crystal.

Lattice parameters (Å, degrees): 7.416 7.416 8.426 98.43 98.43 120.00
Sites, in units of the cell vectors:
1 Cs 0.167 0.833 0.500
2 Cs 0.833 0.167 0.500
3 Cs 0.500 0.500 0.500
4 La 0.333 0.667 0.000
5 La 0.667 0.333 0.000
6 Sn 0.000 0.000 0.000
7 S 0.938 0.615 0.815
8 S 0.739 0.739 0.186
9 S 0.062 0.385 0.185
10 S 0.615 0.938 0.815
11 S 0.261 0.261 0.814
12 S 0.385 0.062 0.185

Values from the calculation:
The space group is C2/m.

no.,raw formation energy (eV per atom)
1,-1.841
2,-1.864
3,-1.852
4,-1.461